A plane-wave DFT calculation with PBE was carried out for an optimized crystal structure of Ba4SbCl.

Computed properties:
**Uncorrected formation energy**: -0.202 eV/atom
**D(E_F)**: 6.2 states/eV/f.u.
**Space group**: F-43m, No. 216
**Uncorrected energy**: -2.478 eV/atom

The structure in POSCAR format:
```
Ba4SbCl
1.0
0.000 5.085 5.085
5.085 0.000 5.085
5.085 5.085 0.000
Ba Sb Cl
4 1 1
Cartesian
3.826 3.826 3.826
6.344 6.344 3.826
6.344 3.826 6.344
3.826 6.344 6.344
7.627 7.627 7.627
0.000 0.000 0.000
```

A plane-wave DFT calculation with PBE was carried out for an optimized crystal structure of Ca3Zn8Cu.

Computed properties:
**Formation enthalpy at 0 K**: -0.16 eV/atom
**D(E_F)**: 6.1 states/eV/f.u.
**Space group**: R3m, No. 160
**Uncorrected energy**: -1.856 eV/atom

The structure in POSCAR format:
```
Ca3Zn8Cu
1.0
2.684 1.550 9.045
-2.684 1.550 9.045
0.000 -3.100 9.045
Ca Zn Cu
3 8 1
Cartesian
0.000 0.000 0.000
0.000 0.000 3.470
0.000 0.000 13.899
-1.349 -0.779 10.813
0.000 -1.548 6.399
-1.340 0.774 6.399
0.000 0.000 8.580
1.349 -0.779 10.813
0.000 1.558 10.813
1.340 0.774 6.399
0.000 0.000 22.232
0.000 0.000 16.955
```

A plane-wave DFT calculation with PBE was carried out for an optimized crystal structure of Pm6Er3Tm2Tl.

Computed properties:
**Formation enthalpy at 0 K**: -0.01 eV/atom
**D(E_F)**: 13.9 states/eV/f.u.
**Space group**: C2/m, No. 12
**Uncorrected energy**: -4.464 eV/atom

The structure in POSCAR format:
```
Pm6Er3Tm2Tl
1.0
3.081 -5.349 0.000
3.081 5.349 0.000
-2.081 0.000 11.522
Pm Er Tm Tl
6 3 2 1
Cartesian
-0.034 1.761 8.620
0.998 0.000 2.884
-0.034 -1.761 8.620
4.116 1.761 2.903
3.085 0.000 8.638
4.116 -1.761 2.903
3.081 3.556 0.000
3.081 0.000 0.000
3.081 -3.556 0.000
2.041 1.777 5.761
2.041 -1.777 5.761
-1.040 0.000 5.761
```

A plane-wave DFT calculation with PBE was carried out for an optimized crystal structure of GaBRhS2.

Computed properties:
**Uncorrected formation energy**: 0.457 eV/atom
**D(E_F)**: 2.6 states/eV/f.u.
**Space group**: P4/mmm, No. 123
**Uncorrected energy**: -4.605 eV/atom

The structure in POSCAR format:
```
GaBRhS2
1.0
4.848 0.000 0.000
0.000 4.848 0.000
0.000 0.000 3.900
Ga B Rh S
1 1 1 2
Cartesian
0.000 0.000 0.000
2.424 2.424 0.000
2.424 2.424 1.950
0.000 2.424 1.950
2.424 0.000 1.950
```

- Look up the uncorrected energy of the third one.
  -4.464 eV/atom

- Look up the uncorrected energy of the fourth one.
  -4.605 eV/atom

- uncorrected energy of number 4 (GaBRhS2)?
  -4.605 eV/atom